A plane-wave DFT calculation with PBE-GGA was carried out for a geometry-optimized NaPCl2O structure.

Unit cell a=5.7633 b=5.7633 c=3.3572 alpha=90.00 beta=90.00 gamma=90.00
Sites, in units of the cell vectors:
O1 0.0000 0.0000 0.0000
Na1 0.5000 0.5000 0.5000
Cl1 0.0000 0.5000 0.0000
Cl2 0.5000 0.0000 0.0000
P1 0.0000 0.0000 0.5000

Summary:
- Raw formation energy: -0.46 eV/atom
- DOS(E_F): 3.58 states/eV/f.u.
- Calculated total energy: -17.66 eV/cell
- SG: No. 123
- Spin magnetization: 0.0235 μB/atom
- Distance to the lowest polymorph of the same formula: 0.000 eV/atom

---

A plane-wave DFT calculation with PBE-GGA was carried out for a geometry-optimized NaP2ClO structure.

Unit cell a=5.0290 b=5.0290 c=4.7158 alpha=90.00 beta=90.00 gamma=90.00
Sites, in units of the cell vectors:
Cl1 0.0000 0.0000 0.5000
O1 0.5000 0.5000 0.5000
Na1 0.0000 0.0000 0.0000
P1 0.0000 0.5000 0.0000
P2 0.5000 0.0000 0.0000

Summary:
- Raw formation energy: 1.58 eV/atom
- DOS(E_F): 7.49 states/eV/f.u.
- Calculated total energy: -11.05 eV/cell
- SG: No. 123
- Spin magnetization: 0.1225 μB/atom
- Distance to the lowest polymorph of the same formula: 1.779 eV/atom

---

A plane-wave DFT calculation with PBE-GGA was carried out for a geometry-optimized NaP2ClO structure.

Unit cell a=3.8678 b=3.8678 c=7.3385 alpha=90.00 beta=90.00 gamma=90.00
Sites, in units of the cell vectors:
P1 0.5000 0.0000 0.0000
P2 0.0000 0.5000 0.0000
Na1 0.5000 0.5000 0.5000
O1 0.0000 0.0000 0.0000
Cl1 0.0000 0.0000 0.5000

Summary:
- Raw formation energy: -0.20 eV/atom
- DOS(E_F): 2.75 states/eV/f.u.
- Calculated total energy: -19.95 eV/cell
- SG: No. 123
- Spin magnetization: 0.0312 μB/atom
- Distance to the lowest polymorph of the same formula: 0.000 eV/atom